## K2WSe (PBE)

Data for a relaxed K2WSe crystal.

It has space group Cm (No. 8), with a = 8.661 Å, b = 3.298 Å, c = 10.111 Å, α = 90.00°, β = 102.95° and γ = 90.00°. The inequivalent atoms are K at (0.000, 0.000, 0.000), K at (0.148, 0.000, 0.564), W at (0.270, 0.500, 0.282) and Se at (0.483, 0.000, 0.282).

The total moment comes out at 0.00 μB/cell. The energy is -4.23 eV per atom. The formation energy (no corrections) is 427 meV per atom.